## one
Computed, not measured: crystalline AgGeSeO at its relaxed geometry at the PBE-GGA level of DFT. Values from VASP.

The structure in Quantum ESPRESSO input format:
```
&SYSTEM
  ibrav = 0, nat = 8, ntyp = 4
/
ATOMIC_SPECIES
Ag 107.87 Ag.upf
Ge 72.64 Ge.upf
Se 78.96 Se.upf
O 16.00 O.upf
CELL_PARAMETERS angstrom
3.764 0.000 0.000
0.000 3.764 0.000
0.000 0.000 11.339
ATOMIC_POSITIONS crystal
Ag 0.250 0.750 0.000
Ag 0.750 0.250 0.000
Ge 0.250 0.250 0.406
Ge 0.750 0.750 0.594
Se 0.250 0.250 0.832
Se 0.750 0.750 0.168
O 0.250 0.250 0.564
O 0.750 0.750 0.436
```

Output
ρ: 5.7 g cm⁻³
Crystal system: tetragonal
V: 160.63 Å³ per cell


## two
Computed, not measured: crystalline AgGeSeO at its relaxed geometry at the PBE-GGA level of DFT. Values from VASP.

The structure in Quantum ESPRESSO input format:
```
&SYSTEM
  ibrav = 0, nat = 16, ntyp = 4
/
ATOMIC_SPECIES
Ag 107.87 Ag.upf
Ge 72.64 Ge.upf
Se 78.96 Se.upf
O 16.00 O.upf
CELL_PARAMETERS angstrom
6.162 0.000 0.000
0.000 6.661 0.000
0.000 0.000 8.029
ATOMIC_POSITIONS crystal
Ag 0.014 0.175 0.139
Ag 0.486 0.825 0.639
Ag 0.514 0.325 0.861
Ag 0.986 0.675 0.361
Ge 0.008 0.589 0.894
Ge 0.492 0.411 0.394
Ge 0.508 0.911 0.106
Ge 0.992 0.089 0.606
Se 0.215 0.927 0.865
Se 0.285 0.073 0.365
Se 0.715 0.573 0.135
Se 0.785 0.427 0.635
O 0.195 0.414 0.965
O 0.305 0.586 0.465
O 0.695 0.086 0.035
O 0.805 0.914 0.535
```

Output
ρ: 5.6 g cm⁻³
Crystal system: orthorhombic
V: 329.54 Å³ per cell


Which one sits at the top of the stability order? two does.


## one
Computed, not measured: crystalline AgGeSeO at its relaxed geometry at the PBE-GGA level of DFT. Values from VASP.

The structure in Quantum ESPRESSO input format:
```
&SYSTEM
  ibrav = 0, nat = 8, ntyp = 4
/
ATOMIC_SPECIES
Ag 107.87 Ag.upf
Ge 72.64 Ge.upf
Se 78.96 Se.upf
O 16.00 O.upf
CELL_PARAMETERS angstrom
4.767 0.000 0.000
0.000 4.767 0.000
0.000 0.000 7.916
ATOMIC_POSITIONS crystal
Ag 0.250 0.250 0.139
Ag 0.750 0.750 0.861
Ge 0.250 0.250 0.642
Ge 0.750 0.750 0.358
Se 0.250 0.750 0.000
Se 0.750 0.250 0.000
O 0.250 0.250 0.429
O 0.750 0.750 0.571
```

Output
ρ: 5.1 g cm⁻³
Crystal system: tetragonal
V: 179.86 Å³ per cell


## two
Computed, not measured: crystalline AgGeSeO at its relaxed geometry at the PBE-GGA level of DFT. Values from VASP.

The structure in Quantum ESPRESSO input format:
```
&SYSTEM
  ibrav = 0, nat = 16, ntyp = 4
/
ATOMIC_SPECIES
Ag 107.87 Ag.upf
Ge 72.64 Ge.upf
Se 78.96 Se.upf
O 16.00 O.upf
CELL_PARAMETERS angstrom
5.679 0.000 0.000
0.000 9.216 0.000
0.000 0.000 6.033
ATOMIC_POSITIONS crystal
Ag 0.214 0.063 0.000
Ag 0.286 0.063 0.500
Ag 0.714 0.937 0.000
Ag 0.786 0.937 0.500
Ge 0.097 0.599 0.958
Ge 0.403 0.599 0.458
Ge 0.597 0.401 0.958
Ge 0.903 0.401 0.458
Se 0.071 0.822 0.209
Se 0.429 0.822 0.709
Se 0.571 0.178 0.209
Se 0.929 0.178 0.709
O 0.128 0.522 0.602
O 0.372 0.522 0.102
O 0.628 0.478 0.602
O 0.872 0.478 0.102
```

Output
ρ: 5.8 g cm⁻³
Crystal system: orthorhombic
V: 315.75 Å³ per cell


Which one sits at the top of the stability order? two does.


## one
Computed, not measured: crystalline AgGeSeO at its relaxed geometry at the PBE-GGA level of DFT. Values from VASP.

The structure in Quantum ESPRESSO input format:
```
&SYSTEM
  ibrav = 0, nat = 8, ntyp = 4
/
ATOMIC_SPECIES
Ag 107.87 Ag.upf
Ge 72.64 Ge.upf
Se 78.96 Se.upf
O 16.00 O.upf
CELL_PARAMETERS angstrom
5.183 0.000 0.000
0.000 5.183 0.000
0.000 0.000 6.353
ATOMIC_POSITIONS crystal
Ag 0.250 0.250 0.218
Ag 0.750 0.750 0.782
Ge 0.250 0.250 0.623
Ge 0.750 0.750 0.377
Se 0.250 0.750 0.500
Se 0.750 0.250 0.500
O 0.250 0.250 0.889
O 0.750 0.750 0.111
```

Output
ρ: 5.4 g cm⁻³
Crystal system: tetragonal
V: 170.67 Å³ per cell


## two
Computed, not measured: crystalline AgGeSeO at its relaxed geometry at the PBE-GGA level of DFT. Values from VASP.

The structure in Quantum ESPRESSO input format:
```
&SYSTEM
  ibrav = 0, nat = 16, ntyp = 4
/
ATOMIC_SPECIES
Ag 107.87 Ag.upf
Ge 72.64 Ge.upf
Se 78.96 Se.upf
O 16.00 O.upf
CELL_PARAMETERS angstrom
6.124 0.000 0.000
0.000 9.536 0.000
0.000 0.000 5.244
ATOMIC_POSITIONS crystal
Ag 0.138 0.095 0.000
Ag 0.362 0.095 0.500
Ag 0.638 0.905 0.000
Ag 0.862 0.905 0.500
Ge 0.081 0.695 0.054
Ge 0.419 0.695 0.554
Ge 0.581 0.305 0.054
Ge 0.919 0.305 0.554
Se 0.005 0.648 0.563
Se 0.495 0.648 0.063
Se 0.505 0.352 0.563
Se 0.995 0.352 0.063
O 0.032 0.876 0.072
O 0.468 0.876 0.572
O 0.532 0.124 0.072
O 0.968 0.124 0.572
```

Output
ρ: 6.0 g cm⁻³
Crystal system: orthorhombic
V: 306.21 Å³ per cell


Which one sits at the top of the stability order? two does.